La5PrTh4 | GGA-PBE | optimized geometry

a = 3.582 Å, b = 3.582 Å, c = 26.627 Å
α = 90.00°, β = 90.00°, γ = 90.00°
Space group P4/mmm (No. 123)
Asymmetric unit:
La 0.000 0.000 0.000 x1
La 0.000 0.000 0.199 x2
La 0.000 0.000 0.393 x2
Pr 0.500 0.500 0.500 x1
Th 0.500 0.500 0.099 x2
Th 0.500 0.500 0.297 x2

BiW3Cl | GGA-PBE | optimized geometry

Computed properties:
Energy above the lowest structure with this stoichiometry   1660 meV per atom

a = 5.122 Å, b = 5.122 Å, c = 5.122 Å
α = 90.00°, β = 90.00°, γ = 90.00°
Space group Pm-3m (No. 221)
Asymmetric unit:
Bi 0.000 0.000 0.000 x1
W 0.000 0.000 0.500 x3
Cl 0.500 0.500 0.500 x1

TbLuPb | GGA-PBE | optimized geometry

Computed properties:
Energy above the lowest structure with this stoichiometry   103 meV per atom

a = 5.2761 Å, b = 5.2761 Å, c = 3.6822 Å
α = 90.00°, β = 90.00°, γ = 120.00°
Space group P3m1 (No. 156)
Asymmetric unit:
Tb 0.0000 0.0000 0.0000 x1
Lu 0.3333 0.6667 0.4657 x1
Pb 0.6667 0.3333 0.6687 x1

BaEu3Zn | GGA-PBE | optimized geometry

a = 6.074 Å, b = 6.074 Å, c = 6.074 Å
α = 90.00°, β = 90.00°, γ = 90.00°
Space group Pm-3m (No. 221)
Asymmetric unit:
Ba 0.000 0.000 0.000 x1
Eu 0.000 0.500 0.500 x3
Zn 0.500 0.500 0.500 x1

KZr4Ni | GGA-PBE | optimized geometry

a = 8.377 Å, b = 8.377 Å, c = 8.377 Å
α = 90.00°, β = 90.00°, γ = 90.00°
Space group F-43m (No. 216)
Asymmetric unit:
K 0.000 0.000 0.000 x4
Zr 0.123 0.123 0.377 x16
Ni 0.250 0.250 0.750 x4

TaReTc | GGA-PBE | optimized geometry

Computed properties:
Energy above the lowest structure with this stoichiometry   904 meV per atom

a = 2.675 Å, b = 2.675 Å, c = 14.587 Å
α = 90.00°, β = 90.00°, γ = 90.00°
Space group I4mm (No. 107)
Asymmetric unit:
Ta 0.000 0.000 0.000 x2
Re 0.000 0.000 0.345 x2
Tc 0.000 0.000 0.180 x2

| no. | magnetization (μB/f.u.) | total DFT energy (no corrections) (eV per atom) |
| --- | --- | --- |
| 1 | 0.000 | -5.85 |
| 2 | 0.002 | -5.54 |
| 3 | 0.000 | -4.48 |
| 4 | 22.809 | -6.81 |
| 5 | 0.001 | -5.92 |
| 6 | 0.000 | -10.72 |